Entry from the Alexandria database: an optimized crystal structure of SmPaRu2 (PBE-GGA).

Properties
space group = No. 13
offset from the most stable computed form = 0.414 kcal/mol of atoms
calculated formation energy = -403.1 meV per atom

Unit cell a=5.968 b=5.632 c=11.019 alpha=90.00 beta=105.37 gamma=90.00
Fractional coordinates of all 16 atoms:
1 Sm 0.191 0.180 0.144
2 Sm 0.191 0.820 0.644
3 Sm 0.809 0.180 0.356
4 Sm 0.809 0.820 0.856
5 Pa 0.367 0.325 0.870
6 Pa 0.367 0.675 0.370
7 Pa 0.633 0.325 0.630
8 Pa 0.633 0.675 0.130
9 Ru 0.135 0.322 0.653
10 Ru 0.135 0.678 0.153
11 Ru 0.343 0.194 0.447
12 Ru 0.343 0.806 0.947
13 Ru 0.657 0.194 0.053
14 Ru 0.657 0.806 0.553
15 Ru 0.865 0.322 0.847
16 Ru 0.865 0.678 0.347